DFT (PBE) results for a relaxed structure of ReAs2Br.

The structure belongs to space group Cmm2 (No. 35); the cell edges are 3.092, 5.324 and 9.579 Å and the angles 90.00°, 90.00° and 90.00°. The asymmetric unit holds Re at (0.000, 0.000, 0.000), As at (0.000, 0.000, 0.462), As at (0.000, 0.500, 0.201) and Br at (0.000, 0.500, 0.775).

The calculation puts the total magnetic moment at 0.0 μB per formula unit. The value obtained for the uncorrected formation energy is 0.6866 eV per atom. As for the energy above the most stable polymorph in this dataset: 2.16 eV/f.u. As for the energy: -41.347 eV per cell. The calculation puts the density of states at the Fermi level at 3.987 states/eV/cell.